This record from the Alexandria database describes Sm7Dy4Pu after structural relaxation. The functional is PBE. Values from VASP.

The structure in Quantum ESPRESSO input format:
```
&SYSTEM
  ibrav = 0, nat = 12, ntyp = 3
/
ATOMIC_SPECIES
Sm 150.36 Sm.upf
Dy 162.50 Dy.upf
Pu 244.00 Pu.upf
CELL_PARAMETERS angstrom
9.202 -2.685 0.000
9.202 2.685 0.000
-2.143 0.000 7.762
ATOMIC_POSITIONS crystal
Sm 0.000 0.000 0.000
Sm 0.179 0.179 0.907
Sm 0.356 0.356 0.804
Sm 0.451 0.451 0.283
Sm 0.549 0.549 0.717
Sm 0.644 0.644 0.196
Sm 0.821 0.821 0.093
Dy 0.091 0.091 0.449
Dy 0.271 0.271 0.363
Dy 0.729 0.729 0.637
Dy 0.909 0.909 0.551
Pu 0.500 0.500 0.000
```

Properties
N(E_F) (states/eV per atom): 2.11
E (eV for the cell shown): -61.75
Crystal system: monoclinic
Space-group type: C2/m, No. 12
Total magnetic moment (μB per cell): 0.00